TeSBr3: relaxed, PBE-GGA.

Geometry as POSCAR:
```
TeSBr3
1.0
5.287 0.000 0.000
0.000 5.287 0.000
0.000 0.000 5.287
S Br Te
1 3 1
direct
0.000 0.000 0.000 S
0.000 0.000 0.500 Br
0.000 0.500 0.000 Br
0.500 0.000 0.000 Br
0.500 0.500 0.500 Te
```

Symmetry   Pm-3m (221)
Magnetization   2.7 Bohr magnetons per cell
Crystal system   cubic
Relative energy among the computed polymorphs   702.9 meV per atom



TeS2Br: relaxed, PBE-GGA.

Geometry as POSCAR:
```
TeS2Br
1.0
0.000 3.456 3.456
3.456 0.000 3.456
3.456 3.456 0.000
Te S Br
1 2 1
direct
0.500 0.500 0.500 Te
0.250 0.250 0.250 S
0.750 0.750 0.750 S
0.000 0.000 0.000 Br
```

Symmetry   Fm-3m (225)
Magnetization   0.0 Bohr magnetons per cell
Crystal system   cubic
Relative energy among the computed polymorphs   668.2 meV per atom



TeSBr: relaxed, PBE-GGA.

Geometry as POSCAR:
```
TeSBr
1.0
-3.118 2.109 4.256
0.846 -5.225 2.964
5.381 4.661 1.411
Br Te S
2 2 2
direct
0.581 0.222 0.237 Br
0.212 0.304 0.696 Br
0.127 0.802 0.930 Te
0.858 0.234 0.960 Te
0.987 0.712 0.191 S
0.785 0.807 0.727 S
```

Symmetry   P1 (1)
Magnetization   0.0 Bohr magnetons per cell
Crystal system   triclinic
Relative energy among the computed polymorphs   23.3 meV per atom



TeSBr3: relaxed, PBE-GGA.

Geometry as POSCAR:
```
TeSBr3
1.0
-5.382 -4.000 4.076
1.029 -2.716 8.418
-3.394 4.734 1.938
Te Br S
2 6 2
direct
0.155 0.377 0.812 Te
0.272 0.819 0.667 Te
0.489 0.214 0.053 Br
0.013 0.228 0.063 Br
0.419 0.967 0.423 Br
0.008 0.672 0.055 Br
0.937 0.990 0.427 Br
0.413 0.528 0.416 Br
0.844 0.528 0.616 S
0.583 0.659 0.863 S
```

Symmetry   C2 (5)
Magnetization   0.0 Bohr magnetons per cell
Crystal system   monoclinic
Relative energy among the computed polymorphs   130.4 meV per atom



TeS2Br: relaxed, PBE-GGA.

Geometry as POSCAR:
```
TeS2Br
1.0
5.647 -0.856 -0.162
-1.241 4.979 1.128
-0.709 -0.146 12.148
Te S Br
2 4 2
direct
0.000 0.500 0.500 Te
0.500 0.000 0.500 Te
0.863 0.931 0.933 S
0.637 0.136 0.933 S
0.363 0.864 0.067 S
0.137 0.069 0.067 S
0.250 0.653 0.696 Br
0.750 0.347 0.304 Br
```

Symmetry   P-1 (2)
Magnetization   0.0 Bohr magnetons per cell
Crystal system   triclinic
Relative energy among the computed polymorphs   64.4 meV per atom



TeS3Br: relaxed, PBE-GGA.

Geometry as POSCAR:
```
TeS3Br
1.0
-4.236 2.707 -1.019
-2.342 -4.270 -1.610
-1.698 -0.864 4.762
Br S Te
1 3 1
direct
0.500 0.500 0.500 Br
0.000 0.000 0.500 S
0.000 0.500 0.000 S
0.500 0.000 0.000 S
0.000 0.000 0.000 Te
```

Symmetry   Pm-3m (221)
Magnetization   2.7 Bohr magnetons per cell
Crystal system   cubic
Relative energy among the computed polymorphs   742.2 meV per atom



TeS3Br: relaxed, PBE-GGA.

Geometry as POSCAR:
```
TeS3Br
1.0
4.760 -0.004 0.305
-0.029 7.761 -0.139
0.493 -0.163 8.976
S Te Br
6 2 2
direct
0.844 0.410 0.824 S
0.112 0.479 0.635 S
0.445 0.832 0.119 S
0.131 0.943 0.250 S
0.077 0.524 0.982 S
0.509 0.835 0.504 S
0.356 0.698 0.777 Te
0.768 0.678 0.305 Te
0.449 0.381 0.296 Br
0.053 0.983 0.799 Br
```

Symmetry   P1 (1)
Magnetization   0.0 Bohr magnetons per cell
Crystal system   triclinic
Relative energy among the computed polymorphs   0.0 meV per atom



TeS2Br: relaxed, PBE-GGA.

Geometry as POSCAR:
```
TeS2Br
1.0
7.437 0.000 0.000
0.000 7.437 0.000
3.719 3.719 3.903
S Te Br
4 2 2
direct
0.375 0.331 0.750 S
0.875 0.919 0.750 S
0.669 0.125 0.250 S
0.081 0.625 0.250 S
0.000 0.000 0.000 Te
0.750 0.250 0.500 Te
0.250 0.750 0.500 Br
0.500 0.500 0.000 Br
```

Symmetry   I-42d (122)
Magnetization   0.0 Bohr magnetons per cell
Crystal system   tetragonal
Relative energy among the computed polymorphs   426.1 meV per atom



TeS4Br4: relaxed, PBE-GGA.

Geometry as POSCAR:
```
TeS4Br4
1.0
7.980 0.000 0.000
0.000 16.305 4.033
0.000 4.070 7.699
S Br Te
8 8 2
direct
0.270 0.824 0.662 S
0.746 0.695 0.400 S
0.754 0.195 0.900 S
0.746 0.305 0.600 S
0.754 0.805 0.100 S
0.230 0.324 0.162 S
0.230 0.676 0.838 S
0.270 0.176 0.338 S
0.992 0.064 0.717 Br
0.974 0.453 0.325 Br
0.508 0.564 0.217 Br
0.526 0.047 0.175 Br
0.508 0.436 0.783 Br
0.526 0.953 0.825 Br
0.992 0.936 0.283 Br
0.974 0.547 0.675 Br
0.777 0.000 0.000 Te
0.723 0.500 0.500 Te
```

Symmetry   P2/c (13)
Magnetization   4.0 Bohr magnetons per cell
Crystal system   monoclinic



TeSBr: relaxed, PBE-GGA.

Geometry as POSCAR:
```
TeSBr
1.0
9.553 0.000 0.000
-4.776 8.273 0.000
0.000 0.000 6.048
Br Te S
3 3 3
direct
0.145 0.366 0.753 Br
0.634 0.779 0.420 Br
0.221 0.855 0.087 Br
0.504 0.097 0.977 Te
0.593 0.496 0.311 Te
0.903 0.407 0.644 Te
0.461 0.313 0.936 S
0.852 0.539 0.269 S
0.687 0.148 0.603 S
```

Symmetry   P3_2 (145)
Magnetization   0.0 Bohr magnetons per cell
Crystal system   trigonal
Relative energy among the computed polymorphs   103.8 meV per atom



Te3SBr: relaxed, PBE-GGA.

Geometry as POSCAR:
```
Te3SBr
1.0
10.523 3.133 2.334
7.084 8.389 2.334
7.084 4.635 7.371
Te Br S
6 2 2
direct
0.083 0.794 0.330 Te
0.330 0.083 0.794 Te
0.794 0.330 0.083 Te
0.294 0.583 0.830 Te
0.583 0.830 0.294 Te
0.830 0.294 0.583 Te
0.321 0.321 0.321 Br
0.821 0.821 0.821 Br
0.443 0.443 0.443 S
0.943 0.943 0.943 S
```

Symmetry   R3c (161)
Magnetization   0.0 Bohr magnetons per cell
Crystal system   trigonal
Relative energy among the computed polymorphs   0.0 meV per atom



Te4S2Br3: relaxed, PBE-GGA.

Geometry as POSCAR:
```
Te4S2Br3
1.0
10.356 1.996 1.429
3.031 8.788 -2.120
3.031 0.825 9.002
S Br Te
4 6 8
direct
0.474 0.910 0.702 S
0.026 0.298 0.090 S
0.526 0.090 0.298 S
0.974 0.702 0.910 S
0.218 0.977 0.345 Br
0.782 0.023 0.655 Br
0.718 0.345 0.977 Br
0.750 0.472 0.528 Br
0.282 0.655 0.023 Br
0.250 0.528 0.472 Br
0.769 0.761 0.590 Te
0.897 0.747 0.209 Te
0.231 0.239 0.410 Te
0.731 0.410 0.239 Te
0.269 0.590 0.761 Te
0.103 0.253 0.791 Te
0.397 0.209 0.747 Te
0.603 0.791 0.253 Te
```

Symmetry   C2/c (15)
Magnetization   0.0 Bohr magnetons per cell
Crystal system   monoclinic



no.,raw formation energy (kJ/mol of formula units)
1,216.7
2,253.1
3,-21.8
4,-59.5
5,20.1
6,385.0
7,27.0
8,159.7
9,44.9
10,1.5
11,95.3
12,-54.9